# PBE-GGA CuBSb2I, relaxed
data_CuBSb2I
_cell_length_a 4.904
_cell_length_b 4.904
_cell_length_c 4.824
_cell_angle_alpha 90.00
_cell_angle_beta 90.00
_cell_angle_gamma 90.00
_symmetry_space_group_name_H-M 'P 1'
_symmetry_Int_Tables_number 1
_symmetry_space_group_name_Hall 'P 1'
loop_
_atom_site_label
_atom_site_fract_x
_atom_site_fract_y
_atom_site_fract_z
I1 0.000 0.000 0.500
Sb1 0.000 0.500 0.000
Sb2 0.500 0.000 0.000
B1 0.000 0.000 0.000
Cu1 0.500 0.500 0.500
# Total DFT energy (no corrections) in eV for the cell shown: -15.39
# E_form (uncorrected) in eV per atom: 1.04
# Density in g cm⁻³: 6.368
# Symmetry: P4/mmm, No. 123
# Energy above the most stable polymorph in this dataset in meV per atom: 0